First-principles (GGA-PBE) data for crystalline ErAgIr4 at its relaxed geometry, as listed in Alexandria.

POSCAR file:
```
ErAgIr4
1.0
0.000 3.733 3.733
3.733 0.000 3.733
3.733 3.733 0.000
Er Ag Ir
1 1 4
Cartesian
0.000 0.000 0.000
5.599 5.599 5.599
2.801 2.801 2.801
4.664 4.664 2.801
4.664 2.801 4.664
2.801 4.664 4.664
```

Computed properties:
total energy	-7.4210	eV per atom
magnetization	0.0	μB per formula unit
formation energy	-0.2780	eV/atom

First-principles (GGA-PBE) data for crystalline Cr2MoPb at its relaxed geometry, as listed in Alexandria.

POSCAR file:
```
Cr2MoPb
1.0
-1.598 2.219 4.437
1.598 -2.219 4.437
1.598 2.219 -4.437
Cr Mo Pb
2 1 1
Cartesian
0.000 0.000 0.000
0.000 2.219 2.492
1.598 0.000 2.188
0.000 0.000 4.604
```

Computed properties:
total energy	-7.8523	eV per atom
magnetization	0.5	μB per formula unit
formation energy	0.5942	eV/atom